# K6Ag3Hg

K6Ag3Hg after structural relaxation (GGA-PBE, Alexandria).

a b c (Å): 6.9465 10.3186 10.6211
angles (deg): 89.76 90.00 90.00
Last column: nearest neighbours and their distance in Å.
Element x y z (fractional)
1 K 0.4345 0.1713 0.0731  3 Ag 3.51-3.86, 1 Hg 3.58, 3 K 3.77-3.91
2 Hg 0.0000 0.0000 0.0000  2 Ag 3.02
3 K 0.7435 0.6616 0.2464  3 Ag 3.47-3.63, 1 Hg 3.59
4 Ag 0.5000 0.5000 0.0000  2 Ag 2.90
5 Hg 0.5000 0.5000 0.5000  2 Ag 3.02
6 K 0.2565 0.3384 0.7536  3 Ag 3.47-3.63, 1 Hg 3.59
7 K 0.0655 0.6713 0.5731  3 Ag 3.51-3.86, 1 Hg 3.58, 3 K 3.77-3.91
8 Ag 0.1865 0.9902 0.7437  1 Ag 2.90, 1 Hg 3.02
9 K 0.2435 0.8384 0.2536  3 Ag 3.47-3.63, 1 Hg 3.59
10 K 0.4265 0.1651 0.4276  2 Ag 3.50-3.62, 1 Hg 3.58, 4 K 3.77-3.91
11 K 0.5655 0.8287 0.9269  3 Ag 3.51-3.86, 1 Hg 3.58, 3 K 3.77-3.91
12 Ag 0.6865 0.5098 0.7563  1 Ag 2.90, 1 Hg 3.02
13 Ag 0.3135 0.4902 0.2437  1 Ag 2.90, 1 Hg 3.02
14 K 0.7565 0.1616 0.7464  3 Ag 3.47-3.63, 1 Hg 3.59
15 K 0.5735 0.8349 0.5724  2 Ag 3.50-3.62, 1 Hg 3.58, 4 K 3.77-3.91
16 K 0.0735 0.6651 0.9276  2 Ag 3.50-3.62, 1 Hg 3.58, 4 K 3.77-3.91
17 K 0.9265 0.3349 0.0724  2 Ag 3.50-3.62, 1 Hg 3.58, 4 K 3.77-3.91
18 Ag 0.0000 0.0000 0.5000  2 Ag 2.90
19 Ag 0.8135 0.0098 0.2563  1 Ag 2.90, 1 Hg 3.02
20 K 0.9345 0.3287 0.4269  3 Ag 3.51-3.86, 1 Hg 3.58, 3 K 3.77-3.91

Values from the calculation:
For the energy relative to the elements, the calculation gives 19 meV per atom. The space group is P2_1/c (14). For the calculated total energy, the calculation gives -0.0561 hartree per atom. For the volume, the calculation gives 38.06 Å³/atom.

# K4AgHg2

K4AgHg2 after structural relaxation (GGA-PBE, Alexandria).

a b c (Å): 5.9363 5.9363 18.5856
angles (deg): 90.00 90.00 119.91
Last column: nearest neighbours and their distance in Å.
Element x y z (fractional)
1 K 0.8338 0.1662 0.7500  3 Ag 3.43, 2 Hg 3.76
2 Hg 0.8339 0.1661 0.9522  8 K 3.44-3.81, 1 Hg 3.85
3 K 0.8327 0.1673 0.3628  4 Hg 3.44-3.81
4 Hg 0.8339 0.1661 0.5478  8 K 3.44-3.81, 1 Hg 3.85
5 Ag 0.4996 0.5004 0.2500  3 K 3.43
6 K 0.1673 0.8327 0.6372  4 Hg 3.44-3.81
7 Ag 0.5004 0.4996 0.7500  3 K 3.43
8 Hg 0.1661 0.8339 0.4522  8 K 3.44-3.81, 1 Hg 3.85
9 K 0.5000 0.5000 0.5000  6 Hg 3.54-3.55
10 K 0.1673 0.8327 0.8628  4 Hg 3.44-3.81
11 K 0.1662 0.8338 0.2500  3 Ag 3.43, 2 Hg 3.76
12 Hg 0.1661 0.8339 0.0478  8 K 3.44-3.81, 1 Hg 3.85
13 K 0.8327 0.1673 0.1372  4 Hg 3.44-3.81
14 K 0.5000 0.5000 0.0000  6 Hg 3.54-3.55

Values from the calculation:
For the energy relative to the elements, the calculation gives -80 meV per atom. The space group is Cmcm (63). For the calculated total energy, the calculation gives -0.0441 hartree per atom. For the volume, the calculation gives 40.55 Å³/atom.

# KAg2Hg2

KAg2Hg2 after structural relaxation (GGA-PBE, Alexandria).

a b c (Å): 4.4977 4.4977 7.3443
angles (deg): 72.17 72.17 90.00
Last column: nearest neighbours and their distance in Å.
Element x y z (fractional)
1 Hg 0.3882 0.3882 0.2237  4 Ag 2.90, 1 Hg 2.96
2 Ag 0.7500 0.2500 0.5000  4 Hg 2.90, 4 Ag 3.18
3 K 0.0000 0.0000 0.0000  8 Hg 3.51
4 Ag 0.2500 0.7500 0.5000  4 Hg 2.90, 4 Ag 3.18
5 Hg 0.6118 0.6118 0.7763  4 Ag 2.90, 1 Hg 2.96

Values from the calculation:
For the energy relative to the elements, the calculation gives -43 meV per atom. The space group is I4/mmm (139). For the calculated total energy, the calculation gives -0.0560 hartree per atom. For the volume, the calculation gives 26.78 Å³/atom.

# KAgHg2

KAgHg2 after structural relaxation (GGA-PBE, Alexandria).

a b c (Å): 4.9394 4.9394 6.4716
angles (deg): 66.78 66.78 61.08
Last column: nearest neighbours and their distance in Å.
Element x y z (fractional)
1 Hg 0.5405 0.5405 0.3806  3 Ag 2.96-2.97, 3 Hg 3.17-3.27
2 Ag 0.2500 0.2500 0.2500  6 Hg 2.96-2.97
3 Hg 0.9595 0.9595 0.1194  3 Ag 2.96-2.97, 3 Hg 3.17-3.27
4 K 0.7500 0.7500 0.7500  8 Hg 3.57-3.63

Values from the calculation:
For the energy relative to the elements, the calculation gives -121 meV per atom. The space group is C2/m (12). For the calculated total energy, the calculation gives -0.0463 hartree per atom. For the volume, the calculation gives 30.72 Å³/atom.

# K4AgHg2

K4AgHg2 after structural relaxation (GGA-PBE, Alexandria).

a b c (Å): 6.4690 6.4690 9.6806
angles (deg): 109.52 109.52 90.00
Last column: nearest neighbours and their distance in Å.
Element x y z (fractional)
1 K 0.1991 0.1991 0.3983  1 Ag 3.40, 1 Hg 3.51
2 Hg 0.5952 0.5952 0.1904  1 Hg 3.25, 5 K 3.51-3.62
3 K 0.5000 0.0000 0.0000  2 Ag 3.23, 4 Hg 3.62
4 Ag 0.0000 0.0000 0.0000  6 K 3.23-3.40
5 Hg 0.4048 0.4048 0.8096  1 Hg 3.25, 5 K 3.51-3.62
6 K 0.8009 0.8009 0.6017  1 Ag 3.40, 1 Hg 3.51
7 K 0.0000 0.5000 0.0000  2 Ag 3.23, 4 Hg 3.62

Values from the calculation:
For the energy relative to the elements, the calculation gives -27 meV per atom. The space group is I4/mmm (139). For the calculated total energy, the calculation gives -0.0422 hartree per atom. For the volume, the calculation gives 51.01 Å³/atom.

# K6Ag2Hg

K6Ag2Hg after structural relaxation (GGA-PBE, Alexandria).

a b c (Å): 10.1960 10.1960 10.1960
angles (deg): 103.93 112.37 112.26
Last column: nearest neighbours and their distance in Å.
Element x y z (fractional)
1 K 0.5374 0.7193 0.8181  3 Ag 3.53-3.83, 1 Hg 3.80
2 K 0.1997 0.2394 0.4391  2 Ag 3.57-3.88, 2 Hg 3.77-3.98
3 K 0.0988 0.2807 0.8181  3 Ag 3.53-3.83, 1 Hg 3.80
4 K 0.6990 0.0266 0.3276  3 Ag 3.47-3.52
5 K 0.3010 0.6285 0.3276  3 Ag 3.47-3.52
6 K 0.4626 0.2807 0.1819  3 Ag 3.53-3.83, 1 Hg 3.80
7 Ag 0.3686 0.0000 0.3686  1 Ag 2.98
8 Ag 0.6314 0.0000 0.6314  1 Ag 2.98
9 K 0.8003 0.2394 0.0397  2 Ag 3.57-3.88, 2 Hg 3.77-3.98
10 Ag 0.5000 0.6124 0.1124  1 Ag 2.83
11 K 0.8003 0.7606 0.5609  2 Ag 3.57-3.88, 2 Hg 3.77-3.98
12 K 0.3010 0.9734 0.6724  3 Ag 3.47-3.52
13 K 0.1997 0.7606 0.9603  2 Ag 3.57-3.88, 2 Hg 3.77-3.98
14 Ag 0.5000 0.3876 0.8876  1 Ag 2.83
15 Hg 0.0000 0.0000 0.0000  8 K 3.77-3.80, 2 Ag 4.18
16 Hg 0.0000 0.5000 0.5000  12 K 3.98-4.39
17 K 0.9012 0.7193 0.1819  3 Ag 3.53-3.83, 1 Hg 3.80
18 K 0.6990 0.3715 0.6724  3 Ag 3.47-3.52

Values from the calculation:
For the energy relative to the elements, the calculation gives -38 meV per atom. The space group is Immm (71). For the calculated total energy, the calculation gives -0.0528 hartree per atom. For the volume, the calculation gives 45.02 Å³/atom.

# KAg2Hg

KAg2Hg after structural relaxation (GGA-PBE, Alexandria).

a b c (Å): 4.9428 6.4042 8.3370
angles (deg): 90.00 90.00 112.53
Last column: nearest neighbours and their distance in Å.
Element x y z (fractional)
1 K 0.4669 0.9326 0.7500  3 Hg 3.38-3.55, 2 Ag 3.66
2 Hg 0.1812 0.3618 0.7500  6 Ag 2.89-2.96
3 Ag 0.2480 0.4960 0.4173  3 Ag 2.79-2.83, 3 Hg 2.89-2.96
4 Ag 0.2480 0.4960 0.0827  3 Ag 2.79-2.83, 3 Hg 2.89-2.96
5 Ag 0.7520 0.5040 0.9173  3 Ag 2.79-2.83, 3 Hg 2.89-2.96
6 Ag 0.7520 0.5040 0.5827  3 Ag 2.79-2.83, 3 Hg 2.89-2.96
7 Hg 0.8188 0.6382 0.2500  6 Ag 2.89-2.96
8 K 0.5331 0.0674 0.2500  3 Hg 3.38-3.55, 2 Ag 3.66

Values from the calculation:
For the energy relative to the elements, the calculation gives -24 meV per atom. The space group is P2_1/m (11). For the calculated total energy, the calculation gives -0.0661 hartree per atom. For the volume, the calculation gives 30.47 Å³/atom.

# KAg2Hg2

KAg2Hg2 after structural relaxation (GGA-PBE, Alexandria).

a b c (Å): 8.7174 8.7174 3.1523
angles (deg): 90.00 90.00 90.00
Last column: nearest neighbours and their distance in Å.
Element x y z (fractional)
1 Ag 0.1224 0.3776 0.0000  6 Hg 2.98-3.04, 3 Ag 3.02-3.15
2 Ag 0.3776 0.8776 0.0000  6 Hg 2.98-3.04, 3 Ag 3.02-3.15
3 K 0.0000 0.0000 0.0000  2 K 3.15, 4 Ag 3.46
4 Ag 0.8776 0.6224 0.0000  6 Hg 2.98-3.04, 3 Ag 3.02-3.15
5 Ag 0.6224 0.1224 0.0000  6 Hg 2.98-3.04, 3 Ag 3.02-3.15
6 K 0.5000 0.5000 0.0000  2 K 3.15, 4 Ag 3.46
7 Hg 0.8279 0.3279 0.5000  6 Ag 2.98-3.04, 2 Hg 3.15
8 Hg 0.6721 0.8279 0.5000  6 Ag 2.98-3.04, 2 Hg 3.15
9 Hg 0.3279 0.1721 0.5000  6 Ag 2.98-3.04, 2 Hg 3.15
10 Hg 0.1721 0.6721 0.5000  6 Ag 2.98-3.04, 2 Hg 3.15

Values from the calculation:
For the energy relative to the elements, the calculation gives -20 meV per atom. The space group is P4/mbm (127). For the calculated total energy, the calculation gives -0.0552 hartree per atom. For the volume, the calculation gives 23.96 Å³/atom.

# KAg2Hg

KAg2Hg after structural relaxation (GGA-PBE, Alexandria).

a b c (Å): 3.0561 4.4612 7.4399
angles (deg): 90.00 90.00 90.00
Last column: nearest neighbours and their distance in Å.
Element x y z (fractional)
1 K 0.5000 0.5000 0.7500  2 K 3.06
2 Ag 0.0000 0.0000 0.0568  3 Ag 2.87-3.06, 4 Hg 3.06
3 Hg 0.5000 0.5000 0.2500  2 Hg 3.06, 8 Ag 3.06
4 Ag 0.0000 0.0000 0.4432  3 Ag 2.87-3.06, 4 Hg 3.06

Values from the calculation:
For the energy relative to the elements, the calculation gives 103 meV per atom. The space group is Pmmm (47). For the calculated total energy, the calculation gives -0.0615 hartree per atom. For the volume, the calculation gives 25.36 Å³/atom.

# K7Ag2Hg2

K7Ag2Hg2 after structural relaxation (GGA-PBE, Alexandria).

a b c (Å): 7.2018 7.2018 9.9673
angles (deg): 94.43 94.43 107.00
Last column: nearest neighbours and their distance in Å.
Element x y z (fractional)
1 Hg 0.3942 0.3942 0.1064  1 Hg 2.96
2 K 0.0000 0.0000 0.0000  2 Hg 3.41
3 Ag 0.7604 0.2396 0.5000  8 K 3.59-3.69
4 K 0.5004 0.0929 0.7866  2 Ag 3.59, 3 Hg 3.60-4.00
5 K 0.4996 0.9071 0.2134  2 Ag 3.59, 3 Hg 3.60-4.00
6 K 0.9071 0.4996 0.2134  2 Ag 3.59, 3 Hg 3.60-4.00
7 Hg 0.6058 0.6058 0.8936  1 Hg 2.96
8 K 0.2519 0.2519 0.4387  4 Ag 3.61-3.69, 1 Hg 3.68
9 K 0.7481 0.7481 0.5613  4 Ag 3.61-3.69, 1 Hg 3.68
10 K 0.0929 0.5004 0.7866  2 Ag 3.59, 3 Hg 3.60-4.00
11 Ag 0.2396 0.7604 0.5000  8 K 3.59-3.69

Values from the calculation:
For the energy relative to the elements, the calculation gives -53 meV per atom. The space group is C2/m (12). For the calculated total energy, the calculation gives -0.0487 hartree per atom. For the volume, the calculation gives 44.56 Å³/atom.

# K5AgHg2

K5AgHg2 after structural relaxation (GGA-PBE, Alexandria).

a b c (Å): 9.0581 9.0581 10.5841
angles (deg): 115.34 115.34 90.00
Last column: nearest neighbours and their distance in Å.
Element x y z (fractional)
1 K 0.4708 0.3233 0.2941  3 Hg 3.64-3.67, 2 Ag 3.76, 1 K 3.95
2 K 0.5292 0.6767 0.7059  3 Hg 3.64-3.67, 2 Ag 3.76, 1 K 3.95
3 K 0.3233 0.8233 0.2941  3 Hg 3.64-3.67, 2 Ag 3.76, 1 K 3.95
4 K 0.1767 0.0292 0.7059  3 Hg 3.64-3.67, 2 Ag 3.76, 1 K 3.95
5 Hg 0.6157 0.1157 0.0000  1 Hg 2.97
6 K 0.6767 0.1767 0.7059  3 Hg 3.64-3.67, 2 Ag 3.76, 1 K 3.95
7 Ag 0.7500 0.7500 0.5000  10 K 3.76-4.21
8 K 0.5000 0.5000 0.0000  4 Hg 3.64
9 Ag 0.2500 0.2500 0.5000  10 K 3.76-4.21
10 K 0.0292 0.5292 0.7059  3 Hg 3.64-3.67, 2 Ag 3.76, 1 K 3.95
11 K 0.0000 0.0000 0.0000  4 Hg 3.64
12 K 0.9708 0.4708 0.2941  3 Hg 3.64-3.67, 2 Ag 3.76, 1 K 3.95
13 Hg 0.1157 0.3843 0.0000  1 Hg 2.97
14 Hg 0.3843 0.8843 0.0000  1 Hg 2.97
15 Hg 0.8843 0.6157 0.0000  1 Hg 2.97
16 K 0.8233 0.9708 0.2941  3 Hg 3.64-3.67, 2 Ag 3.76, 1 K 3.95

Values from the calculation:
For the energy relative to the elements, the calculation gives -121 meV per atom. The space group is I4/mcm (140). For the calculated total energy, the calculation gives -0.0455 hartree per atom. For the volume, the calculation gives 43.21 Å³/atom.

# KAg2Hg

KAg2Hg after structural relaxation (GGA-PBE, Alexandria).

a b c (Å): 4.4674 3.3118 7.5105
angles (deg): 77.00 90.00 90.00
Last column: nearest neighbours and their distance in Å.
Element x y z (fractional)
1 Ag 0.5000 0.4650 0.1938  4 Ag 2.86-2.87, 2 Hg 2.95
2 Hg 0.0000 0.3347 0.4565  4 Ag 2.95-3.10
3 K 0.5000 0.6873 0.7504  1 Ag 3.24, 2 K 3.31, 4 Hg 3.51-3.52
4 Ag 0.0000 0.0130 0.0994  4 Ag 2.86-2.87, 2 Hg 3.09-3.10

Values from the calculation:
For the energy relative to the elements, the calculation gives 12 meV per atom. The space group is Pm (6). For the calculated total energy, the calculation gives -0.0648 hartree per atom. For the volume, the calculation gives 27.07 Å³/atom.